# 1
Crystalline K4TlHg12 at its relaxed geometry, computed with GGA-PBE.

Results
Its symmetry is Im-3m. For the total magnetization, the calculation gives 0.00 μB/f.u. The formation energy is -0.196 eV per atom. The total energy is -13.71 eV/cell.

Structure (POSCAR):
```
K4TlHg12
1.0
-5.130 5.130 5.130
5.130 -5.130 5.130
5.130 5.130 -5.130
K Tl Hg
4 1 12
direct
0.000 0.000 0.500
0.000 0.500 0.000
0.500 0.000 0.000
0.500 0.500 0.500
0.000 0.000 0.000
0.000 0.310 0.310
0.000 0.690 0.690
0.250 0.500 0.750
0.250 0.750 0.500
0.310 0.000 0.310
0.310 0.310 0.000
0.500 0.250 0.750
0.500 0.750 0.250
0.690 0.000 0.690
0.690 0.690 0.000
0.750 0.250 0.500
0.750 0.500 0.250
```

=====

# 2
Crystalline HoPa3 at its relaxed geometry, computed with GGA-PBE.

Results
Its symmetry is Fm-3m. For the total magnetization, the calculation gives 0.00 μB/f.u. As for the energy above the most stable polymorph in this dataset: 0.220 eV/atom. The formation energy is 0.368 eV per atom. The total energy is -31.59 eV/cell.

Structure (POSCAR):
```
HoPa3
1.0
0.000 3.729 3.729
3.729 0.000 3.729
3.729 3.729 0.000
Ho Pa
1 3
direct
0.000 0.000 0.000
0.250 0.250 0.250
0.500 0.500 0.500
0.750 0.750 0.750
```

=====

# 3
Crystalline MgTlIn2 at its relaxed geometry, computed with GGA-PBE.

Results
Its symmetry is Immm. For the total magnetization, the calculation gives 0.00 μB/f.u. The formation energy is 0.001 eV per atom. The total energy is -9.43 eV/cell.

Structure (POSCAR):
```
MgTlIn2
1.0
-1.777 2.668 5.585
1.777 -2.668 5.585
1.777 2.668 -5.585
Mg Tl In
1 1 2
direct
0.000 0.000 0.000
0.500 0.500 0.000
0.235 0.735 0.500
0.765 0.265 0.500
```

=====

# 4
Crystalline MnCoCu2 at its relaxed geometry, computed with GGA-PBE.

Results
Its symmetry is R3m. For the total magnetization, the calculation gives 1.88 μB/f.u. The formation energy is 0.141 eV per atom. The total energy is -23.90 eV/cell.

Structure (POSCAR):
```
MnCoCu2
1.0
1.252 0.723 8.342
-1.252 0.723 8.342
0.000 -1.445 8.342
Mn Co Cu
1 1 2
direct
0.000 0.000 0.000
0.743 0.743 0.743
0.247 0.247 0.247
0.495 0.495 0.495
```

=====

# 5
Crystalline Ti2InCu at its relaxed geometry, computed with GGA-PBE.

Results
Its symmetry is P4/mmm. For the total magnetization, the calculation gives 0.01 μB/f.u. The formation energy is -0.086 eV per atom. The total energy is -22.97 eV/cell.

Structure (POSCAR):
```
Ti2InCu
1.0
2.922 0.000 0.000
0.000 2.922 0.000
0.000 0.000 7.893
Ti In Cu
2 1 1
direct
0.000 0.000 0.219
0.000 0.000 0.781
0.500 0.500 0.500
0.500 0.500 0.000
```

=====

# 6
Crystalline BaSr2CdI8 at its relaxed geometry, computed with GGA-PBE.

Results
Its symmetry is P2/m. For the total magnetization, the calculation gives 0.00 μB/f.u. The calculation puts the raw formation energy at -1.389 eV/atom. The total energy is -35.27 eV/cell.

Structure (POSCAR):
```
BaSr2CdI8
1.0
7.454 0.000 0.000
0.000 9.850 0.000
-0.138 0.000 7.786
Ba Sr Cd I
1 2 1 8
direct
0.000 0.000 0.000
0.500 0.263 0.500
0.500 0.737 0.500
0.000 0.500 0.000
0.237 0.281 0.150
0.237 0.719 0.150
0.243 0.500 0.666
0.269 0.000 0.643
0.731 0.000 0.357
0.757 0.500 0.334
0.763 0.281 0.850
0.763 0.719 0.850
```